A relaxed Na2ScSn3Se6 crystal. Source: the Alexandria database, functional PBE.

POSCAR file:
```
Na2ScSn3Se6
1.0
7.276 -0.014 -0.010
-3.648 6.295 -0.010
-1.221 -2.114 6.794
Sc Sn Se Na
1 3 6 2
direct
0.000 0.000 0.000
0.838 0.162 0.500
0.500 0.500 0.500
0.162 0.838 0.500
0.615 0.916 0.765
0.229 0.229 0.752
0.084 0.385 0.235
0.916 0.615 0.765
0.385 0.084 0.235
0.771 0.771 0.248
0.668 0.332 0.000
0.332 0.668 0.000
```

Summary:
* E_form (uncorrected): -0.870 eV/atom
* symmetry: C2/m